Version 1
A plane-wave DFT calculation with PBE was carried out for a relaxed SiBr2O crystal.

Cell and atoms, written as extended XYZ:
```
4
Lattice="0.000 3.389 3.389 3.389 0.000 3.389 3.389 3.389 0.000" Properties=species:S:1:pos:R:3 pbc="T T T"
O 0.000 0.000 0.000
Br 1.695 1.695 1.695
Si 3.389 3.389 3.389
Br 5.084 5.084 5.084
```

Version 2
A plane-wave DFT calculation with PBE was carried out for a relaxed SiBr2O crystal.

Cell and atoms, written as extended XYZ:
```
8
Lattice="-0.114 -6.375 -2.120 6.700 0.046 -0.501 3.554 -4.294 2.072" Properties=species:S:1:pos:R:3 pbc="T T T"
Br 5.062 -1.818 -0.052
Br 1.654 -5.075 -0.877
O 3.293 -3.164 -1.310
Br 5.111 -5.594 0.573
Br 8.452 -8.758 -0.741
O 6.773 -3.706 0.130
Si 0.000 0.000 0.000
Si 3.366 -6.916 -0.679
```

Version 3
A plane-wave DFT calculation with PBE was carried out for a relaxed SiBr2O crystal.

Cell and atoms, written as extended XYZ:
```
4
Lattice="2.226 0.000 7.441 -1.113 1.928 7.441 -1.113 -1.928 7.441" Properties=species:S:1:pos:R:3 pbc="T T T"
Br 0.000 0.000 2.018
Si 0.000 0.000 11.162
Br 0.000 0.000 20.306
O 0.000 0.000 0.000
```

Which is the most stable structure? version 3 is the most stable.

Version 1
A plane-wave DFT calculation with PBE was carried out for a relaxed Si2BrO crystal.

Cell and atoms, written as extended XYZ:
```
8
Lattice="4.669 0.000 0.000 0.000 4.669 0.000 2.335 2.335 6.724" Properties=species:S:1:pos:R:3 pbc="T T T"
Si 2.633 1.167 1.681
Si 2.036 3.502 1.681
O 2.335 2.335 0.000
O 2.335 4.669 3.362
Si 3.502 4.371 5.043
Br 0.000 0.000 0.000
Si 5.837 4.968 5.043
Br 4.669 2.335 3.362
```

Version 2
A plane-wave DFT calculation with PBE was carried out for a relaxed Si2BrO crystal.

Cell and atoms, written as extended XYZ:
```
4
Lattice="1.239 -2.410 3.607 -0.381 1.768 4.133 -3.128 -1.571 2.846" Properties=species:S:1:pos:R:3 pbc="T T T"
Si -1.703 -1.659 7.940
Si -0.568 -0.553 2.647
O 0.000 0.000 0.000
Br -1.135 -1.106 5.293
```

Which is the most stable structure? version 1 is the most stable.

Version 1
A plane-wave DFT calculation with PBE was carried out for a relaxed SiBr3O crystal.

Cell and atoms, written as extended XYZ:
```
5
Lattice="4.764 0.000 0.000 0.000 4.764 0.000 0.000 0.000 4.764" Properties=species:S:1:pos:R:3 pbc="T T T"
Si 2.382 2.382 2.382
Br 2.382 0.000 0.000
Br 0.000 2.382 0.000
O 0.000 0.000 0.000
Br 0.000 0.000 2.382
```

Version 2
A plane-wave DFT calculation with PBE was carried out for a relaxed SiBr3O crystal.

Cell and atoms, written as extended XYZ:
```
5
Lattice="4.996 0.000 0.000 0.000 4.996 0.000 0.000 0.000 4.996" Properties=species:S:1:pos:R:3 pbc="T T T"
Si 0.000 0.000 0.000
Br 0.000 0.000 2.498
Br 0.000 2.498 0.000
Br 2.498 0.000 0.000
O 2.498 2.498 2.498
```

Which is the most stable structure? version 2 is the most stable.